1.
Entry from Alexandria: crystalline SnTePb at its relaxed geometry (GGA-PBE).

Structure (POSCAR):
```
SnTePb
1.0
7.8104 0.0000 0.0000
0.0000 7.8104 0.0000
0.0000 0.0000 7.9843
Sn Te Pb
4 4 4
Direct
0.2075 0.2075 0.0000
0.2925 0.7075 0.2500
0.7075 0.2925 0.7500
0.7925 0.7925 0.5000
0.0132 0.9868 0.2500
0.4868 0.4868 0.0000
0.5132 0.5132 0.5000
0.9868 0.0132 0.7500
0.2292 0.2292 0.5000
0.2708 0.7292 0.7500
0.7292 0.2708 0.2500
0.7708 0.7708 0.0000
```

Summary:
- uncorrected formation energy (eV/atom) = 0.26
- space-group type = No. 92
- ΔE to the lowest computed polymorph (meV per atom) = 224
- mass density (g/cm³) = 6.18
- D(E_F) (states/eV per cell) = 6.56
- magnetization (μB/cell) = 0.00
- E (eV/atom) = -3.359

---

2.
Entry from Alexandria: crystalline PmThOs4 at its relaxed geometry (GGA-PBE).

Structure (POSCAR):
```
PmThOs4
1.0
0.0000 3.8498 3.8498
3.8498 0.0000 3.8498
3.8498 3.8498 0.0000
Pm Th Os
1 1 4
Direct
0.0000 0.0000 0.0000
0.7500 0.7500 0.7500
0.3749 0.3749 0.3749
0.3749 0.3749 0.8754
0.3749 0.8754 0.3749
0.8754 0.3749 0.3749
```

Summary:
- space-group type = No. 216
- mass density (g/cm³) = 16.56
- D(E_F) (states/eV per cell) = 4.77
- energy of formation (meV/atom) = -193
- magnetization (μB/cell) = 0.00
- E (eV/atom) = -9.708

---

3.
Entry from Alexandria: crystalline Sc2TaAsO at its relaxed geometry (GGA-PBE).

Structure (POSCAR):
```
Sc2TaAsO
1.0
5.1942 0.0000 0.0000
0.0000 5.1942 0.0000
0.0000 0.0000 4.7374
Sc Ta As O
2 1 1 1
Direct
0.0000 0.5000 0.0000
0.5000 0.0000 0.0000
0.0000 0.0000 0.0000
0.0000 0.0000 0.5000
0.5000 0.5000 0.5000
```

Summary:
- uncorrected formation energy (eV/atom) = 0.63
- space-group type = No. 123
- mass density (g/cm³) = 4.70
- D(E_F) (states/eV per cell) = 3.51
- magnetization (μB/cell) = 0.00
- E (eV/atom) = -6.199

---

4.
Entry from Alexandria: crystalline NdTlCdPb at its relaxed geometry (GGA-PBE).

Structure (POSCAR):
```
NdTlCdPb
1.0
0.0000 3.8466 3.8466
3.8466 0.0000 3.8466
3.8466 3.8466 0.0000
Nd Tl Cd Pb
1 1 1 1
Direct
0.0000 0.0000 0.0000
0.2500 0.2500 0.2500
0.5000 0.5000 0.5000
0.7500 0.7500 0.7500
```

Summary:
- space-group type = No. 216
- ΔE to the lowest computed polymorph (meV per atom) = 170
- mass density (g/cm³) = 9.75
- D(E_F) (states/eV per cell) = 1.51
- energy of formation (meV/atom) = -188
- magnetization (μB/cell) = 0.00
- E (eV/atom) = -3.127

---

5.
Entry from Alexandria: crystalline PaInB2O8 at its relaxed geometry (GGA-PBE).

Structure (POSCAR):
```
PaInB2O8
1.0
-2.3001 2.3001 5.6664
2.3001 -2.3001 5.6664
2.3001 2.3001 -5.6664
Pa In B O
1 1 2 8
Direct
0.0000 0.0000 0.0000
0.7500 0.2500 0.5000
0.2500 0.7500 0.5000
0.5000 0.5000 0.0000
0.0529 0.9253 0.6163
0.0747 0.6910 0.1276
0.1889 0.3035 0.6278
0.3090 0.4366 0.3837
0.4389 0.8111 0.1146
0.5634 0.9471 0.8724
0.6757 0.5611 0.3722
0.6965 0.3243 0.8854
```

Summary:
- uncorrected formation energy (eV/atom) = -2.09
- space-group type = No. 82
- mass density (g/cm³) = 6.86
- D(E_F) (states/eV per cell) = 4.80
- magnetization (μB/cell) = 2.06
- E (eV/atom) = -7.528

---

6.
Entry from Alexandria: crystalline AlCd2InF8 at its relaxed geometry (GGA-PBE).

Structure (POSCAR):
```
AlCd2InF8
1.0
4.9818 0.0000 0.0000
0.0972 5.0292 0.0000
0.2112 0.1358 7.2624
Al Cd In F
1 2 1 8
Direct
0.0000 0.0000 0.0000
0.4992 0.4987 0.7591
0.5008 0.5013 0.2409
0.0000 0.0000 0.5000
0.1870 0.8201 0.1764
0.2017 0.8353 0.8206
0.2562 0.2768 0.0022
0.2780 0.3835 0.5052
0.7220 0.6165 0.4948
0.7438 0.7232 0.9978
0.7983 0.1647 0.1794
0.8130 0.1799 0.8236
```

Summary:
- uncorrected formation energy (eV/atom) = -2.51
- space-group type = No. 2
- mass density (g/cm³) = 4.73
- magnetization (μB/cell) = 0.00
- E (eV/atom) = -4.451

---

7.
Entry from Alexandria: crystalline RbZn9Ga4 at its relaxed geometry (GGA-PBE).

Structure (POSCAR):
```
RbZn9Ga4
1.0
-4.5145 4.5145 6.2871
4.5145 -4.5145 6.2871
4.5145 4.5145 -6.2871
Rb Zn Ga
2 18 8
Direct
0.2500 0.2500 0.0000
0.7500 0.7500 0.0000
0.0000 0.5000 0.5000
0.0484 0.7991 0.8475
0.0558 0.5558 0.2642
0.2009 0.0484 0.2493
0.2084 0.9442 0.5000
0.2916 0.7916 0.7358
0.2991 0.5484 0.8475
0.4442 0.7084 0.5000
0.4516 0.2991 0.7507
0.5000 0.0000 0.5000
0.5484 0.7009 0.2493
0.5558 0.2916 0.5000
0.7009 0.4516 0.1525
0.7084 0.2084 0.2642
0.7916 0.0558 0.5000
0.7991 0.9516 0.7507
0.9442 0.4442 0.7358
0.9516 0.2009 0.1525
0.0558 0.1938 0.5000
0.1938 0.6938 0.1380
0.3062 0.4442 0.5000
0.4442 0.9442 0.1380
0.5558 0.0558 0.8620
0.6938 0.5558 0.5000
0.8062 0.3062 0.8620
0.9442 0.8062 0.5000
```

Summary:
- space-group type = No. 140
- mass density (g/cm³) = 6.18
- D(E_F) (states/eV per cell) = 7.02
- energy of formation (meV/atom) = -27
- magnetization (μB/cell) = 0.00
- E (eV/atom) = -1.780

---

8.
Entry from Alexandria: crystalline SrOsPb2 at its relaxed geometry (GGA-PBE).

Structure (POSCAR):
```
SrOsPb2
1.0
4.5859 -1.8361 0.0000
4.5859 1.8361 0.0000
-1.4763 0.0000 6.2519
Sr Os Pb
1 1 2
Direct
0.0000 0.0000 0.0000
0.5000 0.5000 0.5000
0.2299 0.2299 0.6900
0.7701 0.7701 0.3100
```

Summary:
- space-group type = No. 12
- mass density (g/cm³) = 10.92
- D(E_F) (states/eV per cell) = 3.08
- energy of formation (meV/atom) = 308
- magnetization (μB/cell) = 0.00
- E (eV/atom) = -4.774

---

9.
Entry from Alexandria: crystalline AlBOs2 at its relaxed geometry (GGA-PBE).

Structure (POSCAR):
```
AlBOs2
1.0
2.8015 0.0000 0.0000
0.0000 2.8015 0.0000
0.0000 0.0000 6.1529
Al B Os
1 1 2
Direct
0.0000 0.0000 0.0000
0.0000 0.0000 0.5000
0.5000 0.5000 0.2892
0.5000 0.5000 0.7108
```

Summary:
- space-group type = No. 123
- ΔE to the lowest computed polymorph (meV per atom) = 0
- mass density (g/cm³) = 14.38
- D(E_F) (states/eV per cell) = 3.81
- energy of formation (meV/atom) = -7
- magnetization (μB/cell) = 0.00
- E (eV/atom) = -8.227

---

10.
Entry from Alexandria: crystalline Be2ZnSbOs at its relaxed geometry (GGA-PBE).

Structure (POSCAR):
```
Be2ZnSbOs
1.0
4.3154 0.0000 0.0000
0.0000 4.3154 0.0000
0.0000 0.0000 4.7905
Be Zn Sb Os
2 1 1 1
Direct
0.0000 0.5000 0.0000
0.5000 0.0000 0.0000
0.0000 0.0000 0.5000
0.5000 0.5000 0.5000
0.0000 0.0000 0.0000
```

Summary:
- uncorrected formation energy (eV/atom) = 0.71
- space-group type = No. 123
- mass density (g/cm³) = 7.36
- D(E_F) (states/eV per cell) = 3.00
- magnetization (μB/cell) = 0.00
- E (eV/atom) = -4.107